# SmPa3 | Alexandria | GGA-PBE | optimized geometry
data_SmPa3
_space_group_name_H-M_alt 'P 1'
_space_group_IT_number 1
_space_group_name_Hall 'P 1'
_cell_length_a 4.7013
_cell_length_b 4.7013
_cell_length_c 5.8102
_cell_angle_alpha 113.86
_cell_angle_beta 113.86
_cell_angle_gamma 90.00
loop_
_atom_site_label
_atom_site_fract_x
_atom_site_fract_y
_atom_site_fract_z
_atom_site_occupancy
Pa1 0.2500 0.7500 0.5000 1
Pa2 0.5000 0.5000 0.0000 1
Pa3 0.7500 0.2500 0.5000 1
Sm1 0.0000 0.0000 0.0000 1
# E above lowest polymorph ... 0.000 eV per atom
# DFT total energy ... -32.4 eV for the cell shown
# Theoretical density ... 13.3 g cm⁻³
# ΔH_f (0 K) ... 0.81 eV per formula unit